1.
Compound: YPu3S4
Source: the Alexandria database
Functional: PBE
Structure: optimized geometry

a = 5.5861 Å, b = 5.5861 Å, c = 5.5861 Å
α = 90.00°, β = 90.00°, γ = 90.00°
Atoms (fractional coordinates):
S 0.0000 0.5000 0.0000
S 0.5000 0.5000 0.5000
Y 0.0000 0.0000 0.0000
S 0.5000 0.0000 0.0000
S 0.0000 0.0000 0.5000
Pu 0.5000 0.0000 0.5000
Pu 0.5000 0.5000 0.0000
Pu 0.0000 0.5000 0.5000

Computed properties:
Formation energy from raw total energies (eV per atom): -1.83
Offset from the most stable computed form (meV per atom): 3
Symmetry: No. 221
Density of states at the Fermi level (states/eV per atom): 3.17


2.
Compound: PrZnGa3Au
Source: the Alexandria database
Functional: PBE
Structure: optimized geometry

a = 5.8661 Å, b = 5.9290 Å, c = 8.6586 Å
α = 110.02°, β = 90.00°, γ = 90.00°
Atoms (fractional coordinates):
Ga 0.5000 0.7716 0.0000
Ga 0.2500 0.2555 0.5110
Au 0.2500 0.4095 0.8189
Ga 0.0000 0.7716 0.0000
Zn 0.7500 0.8940 0.7881
Ga 0.0000 0.2284 0.0000
Ga 0.7500 0.7445 0.4890
Pr 0.2500 0.8249 0.6499
Zn 0.2500 0.1060 0.2119
Pr 0.7500 0.1751 0.3501
Au 0.7500 0.5905 0.1811
Ga 0.5000 0.2284 0.0000

Computed properties:
DFT formation energy (meV/atom): -219
Symmetry: No. 63
Density of states at the Fermi level (states/eV per atom): 0.46


3.
Compound: La5Ru
Source: the Alexandria database
Functional: PBE
Structure: optimized geometry

a = 6.3687 Å, b = 6.3687 Å, c = 6.3687 Å
α = 60.00°, β = 60.00°, γ = 60.00°
Atoms (fractional coordinates):
La 0.7500 0.7500 0.7500
La 0.3727 0.3727 0.8818
La 0.8818 0.3727 0.3727
La 0.3727 0.3727 0.3727
Ru 0.0000 0.0000 0.0000
La 0.3727 0.8818 0.3727

Computed properties:
DFT formation energy (meV/atom): 625
Offset from the most stable computed form (meV per atom): 717
Symmetry: No. 216
Density of states at the Fermi level (states/eV per atom): 1.88


4.
Compound: SiSb4Ru
Source: the Alexandria database
Functional: PBE
Structure: optimized geometry

a = 6.0550 Å, b = 6.0550 Å, c = 6.0550 Å
α = 60.00°, β = 60.00°, γ = 60.00°
Atoms (fractional coordinates):
Ru 0.0000 0.0000 0.0000
Sb 0.3750 0.3750 0.8751
Sb 0.3750 0.3750 0.3750
Sb 0.8751 0.3750 0.3750
Si 0.7500 0.7500 0.7500
Sb 0.3750 0.8751 0.3750

Computed properties:
Formation energy from raw total energies (eV per atom): 1.09
Symmetry: No. 216
Density of states at the Fermi level (states/eV per atom): 0.83


5.
Compound: NaCd3Ag4
Source: the Alexandria database
Functional: PBE
Structure: optimized geometry

a = 4.3971 Å, b = 4.3975 Å, c = 8.7472 Å
α = 104.75°, β = 104.56°, γ = 90.00°
Atoms (fractional coordinates):
Cd 0.0000 0.5000 0.0000
Ag 0.6272 0.6276 0.2544
Ag 0.3728 0.3724 0.7456
Cd 0.7491 0.2493 0.4982
Na 0.5000 0.0000 0.0000
Cd 0.2509 0.7507 0.5018
Ag 0.8728 0.8732 0.7456
Ag 0.1272 0.1268 0.2544

Computed properties:
DFT formation energy (meV/atom): -38
Offset from the most stable computed form (meV per atom): 0
Symmetry: No. 12
Density of states at the Fermi level (states/eV per atom): 0.23


6.
Compound: HAuI3
Source: the Alexandria database
Functional: PBE
Structure: optimized geometry

a = 5.0621 Å, b = 5.0621 Å, c = 5.0621 Å
α = 90.00°, β = 90.00°, γ = 90.00°
Atoms (fractional coordinates):
H 0.0000 0.0000 0.0000
Au 0.5000 0.5000 0.5000
I 0.5000 0.0000 0.0000
I 0.0000 0.5000 0.0000
I 0.0000 0.0000 0.5000

Computed properties:
Offset from the most stable computed form (meV per atom): 848
Symmetry: No. 221
Density of states at the Fermi level (states/eV per atom): 1.36